1.
An optimized crystal structure of Zn5Te, computed with GGA-PBE.

```
Zn5Te
1.0
2.797 -4.845 0.000
2.797 4.845 0.000
0.000 0.000 4.205
Zn Te
5 1
Direct
0.333 0.667 0.000
0.667 0.333 0.000
0.500 0.000 0.500
0.000 0.500 0.500
0.500 0.500 0.500
0.000 0.000 0.000
```

Results
The formation energy (no corrections) comes out at 0.173 eV per atom. Its total energy is -8.5 eV for the cell shown. The crystal system is hexagonal. The value obtained for the energy above the most stable polymorph in this dataset is 117 meV/atom. As for the space group: No. 191.



2.
An optimized crystal structure of Co2TeOs, computed with GGA-PBE.

```
Co2TeOs
1.0
-0.540 5.617 -2.016
-3.635 -2.251 1.516
-0.529 2.133 1.902
Co Os Te
2 1 1
Direct
0.000 0.000 0.000
0.500 0.000 0.500
0.000 0.500 0.500
0.500 0.500 0.000
```

Results
The formation energy (no corrections) comes out at 0.545 eV per atom. Its total energy is -26.4 eV for the cell shown. The crystal system is orthorhombic. As for the space group: No. 65.



3.
An optimized crystal structure of TbSi3Ir3, computed with GGA-PBE.

```
TbSi3Ir3
1.0
6.847 0.000 0.000
3.424 5.930 0.000
3.424 1.977 6.519
Tb Si Ir
2 6 6
Direct
0.335 0.335 0.996
0.665 0.665 0.004
0.198 0.617 0.280
0.905 0.198 0.280
0.617 0.905 0.280
0.383 0.095 0.720
0.095 0.802 0.720
0.802 0.383 0.720
0.477 0.755 0.654
0.755 0.113 0.654
0.113 0.477 0.654
0.887 0.523 0.346
0.245 0.887 0.346
0.523 0.245 0.346
```

Results
The formation energy (no corrections) comes out at -0.625 eV per atom. Its total energy is -103.7 eV for the cell shown. The crystal system is trigonal. The value obtained for the energy above the most stable polymorph in this dataset is 0 meV/atom. As for the space group: No. 148.



4.
An optimized crystal structure of Sm7Cd2Pb2, computed with GGA-PBE.

```
Sm7Cd2Pb2
1.0
6.800 -0.002 -1.114
0.004 8.356 0.004
-1.535 -0.002 6.717
Sm Cd Pb
7 2 2
Direct
0.000 0.291 0.500
0.500 0.709 0.000
0.000 0.709 0.500
0.500 0.291 0.000
0.000 0.000 0.000
0.500 0.769 0.500
0.500 0.231 0.500
0.721 0.000 0.279
0.279 0.000 0.721
0.801 0.500 0.801
0.199 0.500 0.199
```

Results
Its total energy is -42.4 eV for the cell shown. The formation energy comes out at -0.0081 eV per atom. The crystal system is orthorhombic. As for the space group: No. 65.



5.
An optimized crystal structure of YAlTl, computed with GGA-PBE.

```
YAlTl
1.0
4.828 0.000 0.000
2.414 4.181 0.000
2.414 1.394 3.942
Y Tl Al
1 1 1
Direct
0.500 0.500 0.500
0.000 0.000 0.000
0.250 0.250 0.250
```

Results
Its total energy is -12.8 eV for the cell shown. The formation energy comes out at -0.0648 eV per atom. The crystal system is cubic. The value obtained for the energy above the most stable polymorph in this dataset is 221 meV/atom. As for the space group: No. 216.